No. 1
CsScN2 GGA-PBE optimized geometry; symmetry = No. 166; energy relative to the elements, uncorrected = 3.62 eV per formula unit; calculated total energy = -5.055 eV/atom; N(E_F) = 0.06 states/eV per cell; E above lowest polymorph = 934 meV/atom
1.0
-5.1667 2.0522 5.3324
-3.8835 -2.3087 6.2394
-1.1635 1.2209 7.5165
Cs N Sc
1 2 1
direct
0.5000 0.5000 0.5000
0.0816 0.0816 0.0816
0.9184 0.9184 0.9184
0.0000 0.0000 0.0000


No. 2
CsScN2 GGA-PBE optimized geometry; symmetry = No. 166; energy relative to the elements, uncorrected = 0.48 eV per formula unit; calculated total energy = -5.839 eV/atom; N(E_F) = 2.81 states/eV per cell; E above lowest polymorph = 150 meV/atom
1.0
-7.2872 -1.0665 -1.3651
-6.8847 -2.2491 1.9097
-7.2770 1.1839 1.3219
N Sc Cs
2 1 1
direct
0.8787 0.8787 0.8787
0.1213 0.1213 0.1213
0.5000 0.5000 0.5000
0.0000 0.0000 0.0000